No. 1
# ZrMnV2 GGA-PBE relaxed
# - distance to the lowest polymorph of the same formula (kJ/mol of atoms) = 50.9
# - SG = No. 122
# - E_tot (eV per atom) = -8.441
data_ZrMnV2
_chemical_formula_sum 'Zr2 Mn2 V4'
_space_group_name_H-M_alt 'P 1'
_space_group_IT_number 1
_space_group_name_Hall 'P 1'
_cell_length_a 10.095
_cell_length_b 10.095
_cell_length_c 10.095
_cell_angle_alpha 159.26
_cell_angle_beta 159.26
_cell_angle_gamma 29.50
loop_
_atom_site_label
_atom_site_fract_x
_atom_site_fract_y
_atom_site_fract_z
_atom_site_occupancy
Zr1 0.000 0.000 0.000 1
Zr2 0.750 0.250 0.500 1
Mn1 0.250 0.750 0.500 1
Mn2 0.500 0.500 0.000 1
V1 0.136 0.625 0.011 1
V2 0.375 0.386 0.511 1
V3 0.614 0.125 0.989 1
V4 0.875 0.864 0.489 1

=====

No. 2
# MnW4 GGA-PBE relaxed
# - distance to the lowest polymorph of the same formula (kJ/mol of atoms) = 109.3
# - SG = No. 229
# - E_tot (eV per atom) = -10.961
data_MnW4
_chemical_formula_sum 'Mn1 W4'
_space_group_name_H-M_alt 'P 1'
_space_group_IT_number 1
_space_group_name_Hall 'P 1'
_cell_length_a 4.868
_cell_length_b 4.868
_cell_length_c 4.868
_cell_angle_alpha 109.47
_cell_angle_beta 109.47
_cell_angle_gamma 109.47
loop_
_atom_site_label
_atom_site_fract_x
_atom_site_fract_y
_atom_site_fract_z
_atom_site_occupancy
Mn1 0.000 0.000 0.000 1
W1 0.000 0.000 0.500 1
W2 0.000 0.500 0.000 1
W3 0.500 0.000 0.000 1
W4 0.500 0.500 0.500 1

=====

No. 3
# Mn4W5 GGA-PBE relaxed
# - distance to the lowest polymorph of the same formula (kJ/mol of atoms) = 0.0
# - SG = No. 139
# - E_tot (eV per atom) = -11.095
data_Mn4W5
_chemical_formula_sum 'Mn4 W5'
_space_group_name_H-M_alt 'P 1'
_space_group_IT_number 1
_space_group_name_Hall 'P 1'
_cell_length_a 6.599
_cell_length_b 6.599
_cell_length_c 6.599
_cell_angle_alpha 93.22
_cell_angle_beta 93.22
_cell_angle_gamma 152.60
loop_
_atom_site_label
_atom_site_fract_x
_atom_site_fract_y
_atom_site_fract_z
_atom_site_occupancy
Mn1 0.000 0.343 0.343 1
Mn2 0.000 0.657 0.657 1
Mn3 0.343 0.000 0.343 1
Mn4 0.657 0.000 0.657 1
W1 0.000 0.000 0.000 1
W2 0.331 0.331 0.662 1
W3 0.331 0.669 0.000 1
W4 0.669 0.331 0.000 1
W5 0.669 0.669 0.338 1

=====

No. 4
# MnW3 GGA-PBE relaxed
# - SG = No. 166
# - E_tot (eV per atom) = -11.899
data_MnW3
_chemical_formula_sum 'Mn1 W3'
_space_group_name_H-M_alt 'P 1'
_space_group_IT_number 1
_space_group_name_Hall 'P 1'
_cell_length_a 5.174
_cell_length_b 5.174
_cell_length_c 5.174
_cell_angle_alpha 117.03
_cell_angle_beta 117.03
_cell_angle_gamma 117.03
loop_
_atom_site_label
_atom_site_fract_x
_atom_site_fract_y
_atom_site_fract_z
_atom_site_occupancy
Mn1 0.000 0.000 0.000 1
W1 0.000 0.500 0.500 1
W2 0.500 0.000 0.500 1
W3 0.500 0.500 0.000 1

=====

No. 5
# MnW2 GGA-PBE relaxed
# - SG = No. 164
# - E_tot (eV per atom) = -11.290
data_MnW2
_chemical_formula_sum 'Mn1 W2'
_space_group_name_H-M_alt 'P 1'
_space_group_IT_number 1
_space_group_name_Hall 'P 1'
_cell_length_a 2.801
_cell_length_b 2.801
_cell_length_c 6.573
_cell_angle_alpha 90.00
_cell_angle_beta 90.00
_cell_angle_gamma 120.00
loop_
_atom_site_label
_atom_site_fract_x
_atom_site_fract_y
_atom_site_fract_z
_atom_site_occupancy
Mn1 0.000 0.000 0.000 1
W1 0.333 0.667 0.316 1
W2 0.667 0.333 0.684 1

=====

No. 6
# MnW2 GGA-PBE relaxed
# - SG = No. 205
# - E_tot (eV per atom) = -10.722
data_MnW2
_chemical_formula_sum 'Mn4 W8'
_space_group_name_H-M_alt 'P 1'
_space_group_IT_number 1
_space_group_name_Hall 'P 1'
_cell_length_a 5.780
_cell_length_b 5.780
_cell_length_c 5.780
_cell_angle_alpha 90.00
_cell_angle_beta 90.00
_cell_angle_gamma 90.00
loop_
_atom_site_label
_atom_site_fract_x
_atom_site_fract_y
_atom_site_fract_z
_atom_site_occupancy
Mn1 0.000 0.000 0.000 1
Mn2 0.000 0.500 0.500 1
Mn3 0.500 0.000 0.500 1
Mn4 0.500 0.500 0.000 1
W1 0.135 0.635 0.865 1
W2 0.135 0.865 0.365 1
W3 0.365 0.135 0.865 1
W4 0.365 0.365 0.365 1
W5 0.635 0.635 0.635 1
W6 0.635 0.865 0.135 1
W7 0.865 0.135 0.635 1
W8 0.865 0.365 0.135 1

=====

We obtain V values of 16.1, 17.8, 14.3, 15.2, 14.9, 16.1 Å³ per atom for the records listed above, in that order.
We obtain ΔH_f (0 K) values of 548, 1235, 177, 108, 402, 970 meV/atom for the records listed above, in that order.